Record 1
# BaAcHf (PBE-GGA, relaxed)
# Calculated total energy ... -4.001 eV/atom
data_BaAcHf
_chemical_formula_sum 'Ba4 Ac4 Hf4'
_symmetry_space_group_name_H-M 'F -4 3 m'
_symmetry_Int_Tables_number 216
_symmetry_space_group_name_Hall 'F -4 2 3'
_cell_length_a 7.879
_cell_length_b 7.879
_cell_length_c 7.879
_cell_angle_alpha 90.00
_cell_angle_beta 90.00
_cell_angle_gamma 90.00
loop_
_atom_site_label
_atom_site_type_symbol
_atom_site_fract_x
_atom_site_fract_y
_atom_site_fract_z
Ba1 Ba 0.000 0.000 0.000
Ac1 Ac 0.250 0.250 0.750
Hf1 Hf 0.250 0.250 0.250

Record 2
# Pm2Pr3Sb3 (PBE-GGA, relaxed)
# Calculated total energy ... -5.501 eV/atom
data_Pm2Pr3Sb3
_chemical_formula_sum 'Pm4 Pr6 Sb6'
_symmetry_space_group_name_H-M 'P 63/m c m'
_symmetry_Int_Tables_number 193
_symmetry_space_group_name_Hall '-P 6c 2'
_cell_length_a 9.3430
_cell_length_b 9.3430
_cell_length_c 6.5297
_cell_angle_alpha 90.00
_cell_angle_beta 90.00
_cell_angle_gamma 120.00
loop_
_atom_site_label
_atom_site_type_symbol
_atom_site_fract_x
_atom_site_fract_y
_atom_site_fract_z
Pm1 Pm 0.3333 0.6667 0.0000
Pr1 Pr 0.0000 0.2501 0.2500
Sb1 Sb 0.0000 0.3888 0.7500

Record 3
# TmSiHO4 (PBE-GGA, relaxed)
# Calculated total energy ... -7.355 eV/atom
data_TmSiHO4
_chemical_formula_sum 'Tm4 Si4 H4 O16'
_symmetry_space_group_name_H-M 'P n m a'
_symmetry_Int_Tables_number 62
_symmetry_space_group_name_Hall '-P 2ac 2n'
_cell_length_a 8.802
_cell_length_b 6.589
_cell_length_c 4.846
_cell_angle_alpha 90.00
_cell_angle_beta 90.00
_cell_angle_gamma 90.00
loop_
_atom_site_label
_atom_site_type_symbol
_atom_site_fract_x
_atom_site_fract_y
_atom_site_fract_z
Tm1 Tm 0.201 0.250 0.189
Si1 Si 0.050 0.750 0.211
H1 H 0.000 0.000 0.500
O1 O 0.079 0.750 0.882
O2 O 0.117 0.548 0.376
O3 O 0.132 0.250 0.753

Record 4
# Zr2BeAl (PBE-GGA, relaxed)
# Calculated total energy ... -5.848 eV/atom
data_Zr2BeAl
_chemical_formula_sum 'Zr8 Be4 Al4'
_symmetry_space_group_name_H-M 'F -4 3 m'
_symmetry_Int_Tables_number 216
_symmetry_space_group_name_Hall 'F -4 2 3'
_cell_length_a 6.605
_cell_length_b 6.605
_cell_length_c 6.605
_cell_angle_alpha 90.00
_cell_angle_beta 90.00
_cell_angle_gamma 90.00
loop_
_atom_site_label
_atom_site_type_symbol
_atom_site_fract_x
_atom_site_fract_y
_atom_site_fract_z
Zr1 Zr 0.000 0.000 0.000
Zr2 Zr 0.250 0.250 0.250
Be1 Be 0.250 0.250 0.750
Al1 Al 0.000 0.000 0.500

Record 5
# KRbTh (PBE-GGA, relaxed)
# Calculated total energy ... -1.649 eV/atom
data_KRbTh
_chemical_formula_sum 'K4 Rb4 Th4'
_symmetry_space_group_name_H-M 'F -4 3 m'
_symmetry_Int_Tables_number 216
_symmetry_space_group_name_Hall 'F -4 2 3'
_cell_length_a 9.167
_cell_length_b 9.167
_cell_length_c 9.167
_cell_angle_alpha 90.00
_cell_angle_beta 90.00
_cell_angle_gamma 90.00
loop_
_atom_site_label
_atom_site_type_symbol
_atom_site_fract_x
_atom_site_fract_y
_atom_site_fract_z
K1 K 0.000 0.000 0.000
Rb1 Rb 0.250 0.250 0.750
Th1 Th 0.250 0.250 0.250

Record 6
# Cs2NdSe4 (PBE-GGA, relaxed)
# Calculated total energy ... -3.995 eV/atom
data_Cs2NdSe4
_chemical_formula_sum 'Cs8 Nd4 Se16'
_symmetry_space_group_name_H-M 'C 1 2/m 1'
_symmetry_Int_Tables_number 12
_symmetry_space_group_name_Hall '-C 2y'
_cell_length_a 15.622
_cell_length_b 7.273
_cell_length_c 11.404
_cell_angle_alpha 90.00
_cell_angle_beta 121.10
_cell_angle_gamma 90.00
loop_
_atom_site_label
_atom_site_type_symbol
_atom_site_fract_x
_atom_site_fract_y
_atom_site_fract_z
Cs1 Cs 0.092 0.000 0.411
Cs2 Cs 0.153 0.500 0.765
Nd1 Nd 0.125 0.500 0.180
Se1 Se 0.055 0.220 0.956
Se2 Se 0.134 0.500 0.431
Se3 Se 0.185 0.000 0.782

Record 7
# Nd2DyZn2Si4Au2 (PBE-GGA, relaxed)
# Calculated total energy ... -4.698 eV/atom
data_Nd2DyZn2Si4Au2
_chemical_formula_sum 'Nd4 Dy2 Zn4 Si8 Au4'
_symmetry_space_group_name_H-M 'I m m m'
_symmetry_Int_Tables_number 71
_symmetry_space_group_name_Hall '-I 2 2'
_cell_length_a 4.203
_cell_length_b 4.218
_cell_length_c 24.730
_cell_angle_alpha 90.00
_cell_angle_beta 90.00
_cell_angle_gamma 90.00
loop_
_atom_site_label
_atom_site_type_symbol
_atom_site_fract_x
_atom_site_fract_y
_atom_site_fract_z
Nd1 Nd 0.000 0.000 0.144
Dy1 Dy 0.000 0.500 0.000
Zn1 Zn 0.000 0.000 0.407
Si1 Si 0.000 0.000 0.311
Si2 Si 0.000 0.500 0.453
Au1 Au 0.000 0.500 0.251

Record 8
# Dy3InHg5 (PBE-GGA, relaxed)
# Calculated total energy ... -2.424 eV/atom
data_Dy3InHg5
_chemical_formula_sum 'Dy6 In2 Hg10'
_symmetry_space_group_name_H-M 'P 63/m c m'
_symmetry_Int_Tables_number 193
_symmetry_space_group_name_Hall '-P 6c 2'
_cell_length_a 8.9492
_cell_length_b 8.9492
_cell_length_c 6.3561
_cell_angle_alpha 90.00
_cell_angle_beta 90.00
_cell_angle_gamma 120.00
loop_
_atom_site_label
_atom_site_type_symbol
_atom_site_fract_x
_atom_site_fract_y
_atom_site_fract_z
Dy1 Dy 0.0000 0.3392 0.2500
In1 In 0.0000 0.0000 0.0000
Hg1 Hg 0.0000 0.3286 0.7500
Hg2 Hg 0.3333 0.6667 0.0000

Record 9
# TmTl3F6 (PBE-GGA, relaxed)
# Calculated total energy ... -4.912 eV/atom
data_TmTl3F6
_chemical_formula_sum 'Tm4 Tl12 F24'
_symmetry_space_group_name_H-M 'F m -3 m'
_symmetry_Int_Tables_number 225
_symmetry_space_group_name_Hall '-F 4 2 3'
_cell_length_a 9.143
_cell_length_b 9.143
_cell_length_c 9.143
_cell_angle_alpha 90.00
_cell_angle_beta 90.00
_cell_angle_gamma 90.00
loop_
_atom_site_label
_atom_site_type_symbol
_atom_site_fract_x
_atom_site_fract_y
_atom_site_fract_z
Tm1 Tm 0.000 0.000 0.000
Tl1 Tl 0.000 0.000 0.500
Tl2 Tl 0.250 0.250 0.250
F1 F 0.000 0.000 0.229

Record 10
# HgSbPt2 (PBE-GGA, relaxed)
# Calculated total energy ... -4.011 eV/atom
data_HgSbPt2
_chemical_formula_sum 'Hg4 Sb4 Pt8'
_symmetry_space_group_name_H-M 'F -4 3 m'
_symmetry_Int_Tables_number 216
_symmetry_space_group_name_Hall 'F -4 2 3'
_cell_length_a 6.743
_cell_length_b 6.743
_cell_length_c 6.743
_cell_angle_alpha 90.00
_cell_angle_beta 90.00
_cell_angle_gamma 90.00
loop_
_atom_site_label
_atom_site_type_symbol
_atom_site_fract_x
_atom_site_fract_y
_atom_site_fract_z
Hg1 Hg 0.000 0.000 0.000
Sb1 Sb 0.250 0.250 0.750
Pt1 Pt 0.000 0.000 0.500
Pt2 Pt 0.250 0.250 0.250

Record 11
# KOsSO (PBE-GGA, relaxed)
# Calculated total energy ... -5.940 eV/atom
data_KOsSO
_chemical_formula_sum 'K2 Os2 S2 O2'
_symmetry_space_group_name_H-M 'P m c 21'
_symmetry_Int_Tables_number 26
_symmetry_space_group_name_Hall 'P 2c -2'
_cell_length_a 3.978
_cell_length_b 6.983
_cell_length_c 6.306
_cell_angle_alpha 90.00
_cell_angle_beta 90.00
_cell_angle_gamma 90.00
loop_
_atom_site_label
_atom_site_type_symbol
_atom_site_fract_x
_atom_site_fract_y
_atom_site_fract_z
K1 K 0.000 0.171 0.000
Os1 Os 0.500 0.410 0.431
S1 S 0.000 0.282 0.512
O1 O 0.500 0.373 0.125

Record 12
# YNbCo2 (PBE-GGA, relaxed)
# Formation energy ... 1.43 eV/f.u.
data_YNbCo2
_chemical_formula_sum 'Y4 Nb4 Co8'
_symmetry_space_group_name_H-M 'F -4 3 m'
_symmetry_Int_Tables_number 216
_symmetry_space_group_name_Hall 'F -4 2 3'
_cell_length_a 6.301
_cell_length_b 6.301
_cell_length_c 6.301
_cell_angle_alpha 90.00
_cell_angle_beta 90.00
_cell_angle_gamma 90.00
loop_
_atom_site_label
_atom_site_type_symbol
_atom_site_fract_x
_atom_site_fract_y
_atom_site_fract_z
Y1 Y 0.000 0.000 0.000
Nb1 Nb 0.250 0.250 0.750
Co1 Co 0.000 0.000 0.500
Co2 Co 0.250 0.250 0.250

Record 13
# TaSbO4 (PBE-GGA, relaxed)
# Calculated total energy ... -7.971 eV/atom
data_TaSbO4
_chemical_formula_sum 'Ta4 Sb4 O16'
_symmetry_space_group_name_H-M 'P n n a'
_symmetry_Int_Tables_number 52
_symmetry_space_group_name_Hall '-P 2a 2bc'
_cell_length_a 6.072
_cell_length_b 10.786
_cell_length_c 5.677
_cell_angle_alpha 90.00
_cell_angle_beta 90.00
_cell_angle_gamma 90.00
loop_
_atom_site_label
_atom_site_type_symbol
_atom_site_fract_x
_atom_site_fract_y
_atom_site_fract_z
Ta1 Ta 0.250 0.000 0.021
Sb1 Sb 0.003 0.250 0.250
O1 O 0.018 0.523 0.728
O2 O 0.239 0.683 0.454

Record 14
# GaReNO (PBE-GGA, relaxed)
# Calculated total energy ... -6.462 eV/atom
data_GaReNO
_chemical_formula_sum 'Ga2 Re2 N2 O2'
_symmetry_space_group_name_H-M 'P 4/n m m'
_symmetry_Int_Tables_number 129
_cell_length_a 3.568
_cell_length_b 3.568
_cell_length_c 6.795
_cell_angle_alpha 90.00
_cell_angle_beta 90.00
_cell_angle_gamma 90.00
loop_
_symmetry_equiv_pos_as_xyz
'x,y,z'
'-x,-y,-z'
'-y+1/2,x,z'
'y+1/2,-x,-z'
'-x+1/2,-y+1/2,z'
'x+1/2,y+1/2,-z'
'y,-x+1/2,z'
'-y,x+1/2,-z'
'x+1/2,-y,-z'
'-x+1/2,y,z'
'-y,-x,-z'
'y,x,z'
'-x,y+1/2,-z'
'x,-y+1/2,z'
'y+1/2,x+1/2,-z'
'-y+1/2,-x+1/2,z'
loop_
_atom_site_label
_atom_site_type_symbol
_atom_site_fract_x
_atom_site_fract_y
_atom_site_fract_z
Ga1 Ga 0.250 0.750 0.000
Re1 Re 0.250 0.250 0.331
N1 N 0.250 0.250 0.807
O1 O 0.250 0.750 0.500

Record 15
# NaDyFe (PBE-GGA, relaxed)
# Calculated total energy ... -3.606 eV/atom
data_NaDyFe
_chemical_formula_sum 'Na4 Dy4 Fe4'
_symmetry_space_group_name_H-M 'F -4 3 m'
_symmetry_Int_Tables_number 216
_symmetry_space_group_name_Hall 'F -4 2 3'
_cell_length_a 6.793
_cell_length_b 6.793
_cell_length_c 6.793
_cell_angle_alpha 90.00
_cell_angle_beta 90.00
_cell_angle_gamma 90.00
loop_
_atom_site_label
_atom_site_type_symbol
_atom_site_fract_x
_atom_site_fract_y
_atom_site_fract_z
Na1 Na 0.000 0.000 0.000
Dy1 Dy 0.250 0.250 0.750
Fe1 Fe 0.000 0.000 0.500

Record 16
# Sr3TlPdPt2Pb2 (PBE-GGA, relaxed)
# Calculated total energy ... -4.200 eV/atom
data_Sr3TlPdPt2Pb2
_chemical_formula_sum 'Sr6 Tl2 Pd2 Pt4 Pb4'
_symmetry_space_group_name_H-M 'A m m 2'
_symmetry_Int_Tables_number 38
_symmetry_space_group_name_Hall 'A 2 -2'
_cell_length_a 4.255
_cell_length_b 13.842
_cell_length_c 7.995
_cell_angle_alpha 90.00
_cell_angle_beta 90.00
_cell_angle_gamma 90.00
loop_
_atom_site_label
_atom_site_type_symbol
_atom_site_fract_x
_atom_site_fract_y
_atom_site_fract_z
Sr1 Sr 0.000 0.000 0.000
Sr2 Sr 0.000 0.204 0.621
Tl1 Tl 0.500 0.000 0.671
Pd1 Pd 0.000 0.000 0.408
Pt1 Pt 0.500 0.169 0.917
Pb1 Pb 0.500 0.127 0.286